(1)
# ZnCuNi2 (PBE, relaxed)
data_ZnCuNi2
_cell_length_a 2.568
_cell_length_b 2.568
_cell_length_c 24.789
_cell_angle_alpha 90.00
_cell_angle_beta 90.00
_cell_angle_gamma 120.00
_symmetry_space_group_name_H-M 'P 1'
_symmetry_Int_Tables_number 1
_symmetry_space_group_name_Hall 'P 1'
loop_
_atom_site_label
_atom_site_type_symbol
_atom_site_fract_x
_atom_site_fract_y
_atom_site_fract_z
Zn1 Zn 0.000 0.000 0.000
Zn2 Zn 0.333 0.667 0.667
Zn3 Zn 0.667 0.333 0.333
Cu1 Cu 0.000 0.000 0.246
Cu2 Cu 0.333 0.667 0.913
Cu3 Cu 0.667 0.333 0.579
Ni1 Ni 0.000 0.000 0.497
Ni2 Ni 0.000 0.000 0.750
Ni3 Ni 0.333 0.667 0.164
Ni4 Ni 0.333 0.667 0.417
Ni5 Ni 0.667 0.333 0.084
Ni6 Ni 0.667 0.333 0.830
# Crystal system: trigonal
# V, Å³/cell: 142
# Formation energy from the elements, eV per atom: -0.04
# Energy, eV/cell: -51.26

---

(2)
# CsVOs2 (PBE, relaxed)
data_CsVOs2
_cell_length_a 7.553
_cell_length_b 7.553
_cell_length_c 5.682
_cell_angle_alpha 90.00
_cell_angle_beta 90.00
_cell_angle_gamma 90.00
_symmetry_space_group_name_H-M 'P 1'
_symmetry_Int_Tables_number 1
_symmetry_space_group_name_Hall 'P 1'
loop_
_atom_site_label
_atom_site_type_symbol
_atom_site_fract_x
_atom_site_fract_y
_atom_site_fract_z
Cs1 Cs 0.000 0.000 0.000
Cs2 Cs 0.000 0.500 0.250
Cs3 Cs 0.500 0.000 0.750
Cs4 Cs 0.500 0.500 0.500
V1 V 0.000 0.000 0.500
V2 V 0.000 0.500 0.750
V3 V 0.500 0.000 0.250
V4 V 0.500 0.500 0.000
Os1 Os 0.188 0.250 0.625
Os2 Os 0.250 0.688 0.875
Os3 Os 0.250 0.812 0.375
Os4 Os 0.312 0.250 0.125
Os5 Os 0.688 0.750 0.125
Os6 Os 0.750 0.188 0.375
Os7 Os 0.750 0.312 0.875
Os8 Os 0.812 0.750 0.625
# Crystal system: tetragonal
# V, Å³/cell: 324
# Formation energy from the elements, eV per atom: 1.75
# Energy, eV/cell: -101.73

---

(3)
# BeV2S (PBE, relaxed)
data_BeV2S
_cell_length_a 4.919
_cell_length_b 4.919
_cell_length_c 10.949
_cell_angle_alpha 90.00
_cell_angle_beta 90.00
_cell_angle_gamma 90.00
_symmetry_space_group_name_H-M 'P 1'
_symmetry_Int_Tables_number 1
_symmetry_space_group_name_Hall 'P 1'
loop_
_atom_site_label
_atom_site_type_symbol
_atom_site_fract_x
_atom_site_fract_y
_atom_site_fract_z
Be1 Be 0.000 0.000 0.000
Be2 Be 0.000 0.500 0.250
Be3 Be 0.500 0.000 0.750
Be4 Be 0.500 0.500 0.500
V1 V 0.226 0.250 0.125
V2 V 0.250 0.726 0.375
V3 V 0.250 0.774 0.875
V4 V 0.274 0.250 0.625
V5 V 0.726 0.750 0.625
V6 V 0.750 0.226 0.875
V7 V 0.750 0.274 0.375
V8 V 0.774 0.750 0.125
S1 S 0.000 0.000 0.500
S2 S 0.000 0.500 0.750
S3 S 0.500 0.000 0.250
S4 S 0.500 0.500 0.000
# Crystal system: tetragonal
# V, Å³/cell: 265
# E_form (uncorrected), eV/f.u.: 2.5
# Energy, eV/cell: -94.52

---

(4)
# CsBa2AsBr8 (PBE, relaxed)
data_CsBa2AsBr8
_cell_length_a 6.651
_cell_length_b 7.858
_cell_length_c 10.039
_cell_angle_alpha 87.63
_cell_angle_beta 87.58
_cell_angle_gamma 65.55
_symmetry_space_group_name_H-M 'P 1'
_symmetry_Int_Tables_number 1
_symmetry_space_group_name_Hall 'P 1'
loop_
_atom_site_label
_atom_site_type_symbol
_atom_site_fract_x
_atom_site_fract_y
_atom_site_fract_z
Cs1 Cs 0.000 0.000 0.000
Ba1 Ba 0.450 0.470 0.255
Ba2 Ba 0.550 0.530 0.745
As1 As 0.000 0.000 0.500
Br1 Br 0.003 0.250 0.306
Br2 Br 0.053 0.213 0.685
Br3 Br 0.409 0.298 0.978
Br4 Br 0.436 0.794 0.470
Br5 Br 0.564 0.206 0.530
Br6 Br 0.591 0.702 0.022
Br7 Br 0.947 0.787 0.315
Br8 Br 0.997 0.750 0.694
# Crystal system: triclinic
# V, Å³/cell: 477
# E_form (uncorrected), eV/f.u.: -17.9
# Energy, eV/cell: -40.62

---

(5)
# TcBiRh (PBE, relaxed)
data_TcBiRh
_cell_length_a 7.792
_cell_length_b 3.030
_cell_length_c 5.443
_cell_angle_alpha 90.00
_cell_angle_beta 113.55
_cell_angle_gamma 90.00
_symmetry_space_group_name_H-M 'P 1'
_symmetry_Int_Tables_number 1
_symmetry_space_group_name_Hall 'P 1'
loop_
_atom_site_label
_atom_site_type_symbol
_atom_site_fract_x
_atom_site_fract_y
_atom_site_fract_z
Tc1 Tc 0.000 0.000 0.000
Tc2 Tc 0.500 0.500 0.000
Bi1 Bi 0.319 0.500 0.382
Bi2 Bi 0.819 0.000 0.382
Rh1 Rh 0.211 0.000 0.772
Rh2 Rh 0.711 0.500 0.772
# Crystal system: monoclinic
# V, Å³/cell: 118
# Formation energy from the elements, eV per atom: 0.51
# Energy, eV/cell: -40.15

---

(6)
# Li2TbAg3 (PBE, relaxed)
data_Li2TbAg3
_cell_length_a 3.383
_cell_length_b 3.383
_cell_length_c 9.958
_cell_angle_alpha 90.00
_cell_angle_beta 90.00
_cell_angle_gamma 90.00
_symmetry_space_group_name_H-M 'P 1'
_symmetry_Int_Tables_number 1
_symmetry_space_group_name_Hall 'P 1'
loop_
_atom_site_label
_atom_site_type_symbol
_atom_site_fract_x
_atom_site_fract_y
_atom_site_fract_z
Li1 Li 0.000 0.000 0.148
Li2 Li 0.000 0.000 0.852
Tb1 Tb 0.000 0.000 0.500
Ag1 Ag 0.500 0.500 0.000
Ag2 Ag 0.500 0.500 0.296
Ag3 Ag 0.500 0.500 0.704
# Crystal system: tetragonal
# V, Å³/cell: 114
# Formation energy from the elements, eV per atom: -0.22
# Energy, eV/cell: -18.32

---

(7)
# LiAgP2 (PBE, relaxed)
data_LiAgP2
_cell_length_a 3.962
_cell_length_b 3.962
_cell_length_c 3.929
_cell_angle_alpha 90.00
_cell_angle_beta 90.00
_cell_angle_gamma 90.00
_symmetry_space_group_name_H-M 'P 1'
_symmetry_Int_Tables_number 1
_symmetry_space_group_name_Hall 'P 1'
loop_
_atom_site_label
_atom_site_type_symbol
_atom_site_fract_x
_atom_site_fract_y
_atom_site_fract_z
Li1 Li 0.000 0.000 0.000
Ag1 Ag 0.500 0.500 0.000
P1 P 0.000 0.500 0.500
P2 P 0.500 0.000 0.500
# Crystal system: tetragonal
# V, Å³/cell: 62
# Formation energy from the elements, eV per atom: 0.07
# Energy, eV/cell: -15.30

---

(8)
# Pr2NdGe3Pt4 (PBE, relaxed)
data_Pr2NdGe3Pt4
_cell_length_a 4.381
_cell_length_b 4.381
_cell_length_c 11.237
_cell_angle_alpha 90.00
_cell_angle_beta 90.00
_cell_angle_gamma 90.00
_symmetry_space_group_name_H-M 'P 1'
_symmetry_Int_Tables_number 1
_symmetry_space_group_name_Hall 'P 1'
loop_
_atom_site_label
_atom_site_type_symbol
_atom_site_fract_x
_atom_site_fract_y
_atom_site_fract_z
Pr1 Pr 0.000 0.500 0.219
Pr2 Pr 0.500 0.000 0.781
Nd1 Nd 0.000 0.000 0.500
Ge1 Ge 0.000 0.500 0.882
Ge2 Ge 0.500 0.000 0.118
Ge3 Ge 0.500 0.500 0.500
Pt1 Pt 0.000 0.000 0.000
Pt2 Pt 0.000 0.500 0.663
Pt3 Pt 0.500 0.000 0.337
Pt4 Pt 0.500 0.500 0.000
# Crystal system: tetragonal
# V, Å³/cell: 216
# Formation energy from the elements, eV per atom: -0.92
# Energy, eV/cell: -61.51

---

(9)
# SrLiYI6 (PBE, relaxed)
data_SrLiYI6
_cell_length_a 7.739
_cell_length_b 7.739
_cell_length_c 14.414
_cell_angle_alpha 90.00
_cell_angle_beta 90.00
_cell_angle_gamma 120.00
_symmetry_space_group_name_H-M 'P 1'
_symmetry_Int_Tables_number 1
_symmetry_space_group_name_Hall 'P 1'
loop_
_atom_site_label
_atom_site_type_symbol
_atom_site_fract_x
_atom_site_fract_y
_atom_site_fract_z
Sr1 Sr 0.000 0.000 0.000
Sr2 Sr 0.000 0.000 0.500
Li1 Li 0.333 0.667 0.250
Li2 Li 0.667 0.333 0.750
Y1 Y 0.333 0.667 0.750
Y2 Y 0.667 0.333 0.250
I1 I 0.002 0.356 0.131
I2 I 0.002 0.646 0.369
I3 I 0.354 0.356 0.369
I4 I 0.354 0.998 0.131
I5 I 0.356 0.002 0.631
I6 I 0.356 0.354 0.869
I7 I 0.644 0.646 0.131
I8 I 0.644 0.998 0.369
I9 I 0.646 0.002 0.869
I10 I 0.646 0.644 0.631
I11 I 0.998 0.354 0.631
I12 I 0.998 0.644 0.869
# Crystal system: trigonal
# V, Å³/cell: 748
# E_form (uncorrected), eV/f.u.: -12.8
# Energy, eV/cell: -64.41

---

(10)
# PmCuSnPt (PBE, relaxed)
data_PmCuSnPt
_cell_length_a 6.844
_cell_length_b 6.844
_cell_length_c 6.844
_cell_angle_alpha 90.00
_cell_angle_beta 90.00
_cell_angle_gamma 90.00
_symmetry_space_group_name_H-M 'P 1'
_symmetry_Int_Tables_number 1
_symmetry_space_group_name_Hall 'P 1'
loop_
_atom_site_label
_atom_site_type_symbol
_atom_site_fract_x
_atom_site_fract_y
_atom_site_fract_z
Pm1 Pm 0.000 0.000 0.000
Pm2 Pm 0.000 0.500 0.500
Pm3 Pm 0.500 0.000 0.500
Pm4 Pm 0.500 0.500 0.000
Cu1 Cu 0.250 0.250 0.250
Cu2 Cu 0.250 0.750 0.750
Cu3 Cu 0.750 0.250 0.750
Cu4 Cu 0.750 0.750 0.250
Sn1 Sn 0.000 0.000 0.500
Sn2 Sn 0.000 0.500 0.000
Sn3 Sn 0.500 0.000 0.000
Sn4 Sn 0.500 0.500 0.500
Pt1 Pt 0.250 0.250 0.750
Pt2 Pt 0.250 0.750 0.250
Pt3 Pt 0.750 0.250 0.250
Pt4 Pt 0.750 0.750 0.750
# Crystal system: cubic
# V, Å³/cell: 321
# Formation energy from the elements, eV per atom: -0.63
# Energy, eV/cell: -85.69

---

(11)
# Rb6Br2Cl3 (PBE, relaxed)
data_Rb6Br2Cl3
_cell_length_a 8.403
_cell_length_b 8.403
_cell_length_c 8.453
_cell_angle_alpha 99.54
_cell_angle_beta 99.54
_cell_angle_gamma 119.99
_symmetry_space_group_name_H-M 'P 1'
_symmetry_Int_Tables_number 1
_symmetry_space_group_name_Hall 'P 1'
loop_
_atom_site_label
_atom_site_type_symbol
_atom_site_fract_x
_atom_site_fract_y
_atom_site_fract_z
Rb1 Rb 0.078 0.413 0.238
Rb2 Rb 0.253 0.253 0.763
Rb3 Rb 0.413 0.078 0.238
Rb4 Rb 0.587 0.922 0.762
Rb5 Rb 0.747 0.747 0.237
Rb6 Rb 0.922 0.587 0.762
Br1 Br 0.167 0.833 0.500
Br2 Br 0.833 0.167 0.500
Cl1 Cl 0.000 0.000 0.000
Cl2 Cl 0.334 0.666 0.000
Cl3 Cl 0.666 0.334 0.000
# Crystal system: monoclinic
# V, Å³/cell: 488
# E_form (uncorrected), eV/f.u.: -18.2
# Energy, eV/cell: -32.93

---

(12)
# SrCrMo (PBE, relaxed)
data_SrCrMo
_cell_length_a 3.956
_cell_length_b 3.956
_cell_length_c 5.378
_cell_angle_alpha 90.00
_cell_angle_beta 90.00
_cell_angle_gamma 120.00
_symmetry_space_group_name_H-M 'P 1'
_symmetry_Int_Tables_number 1
_symmetry_space_group_name_Hall 'P 1'
loop_
_atom_site_label
_atom_site_type_symbol
_atom_site_fract_x
_atom_site_fract_y
_atom_site_fract_z
Sr1 Sr 0.000 0.000 0.000
Cr1 Cr 0.667 0.333 0.500
Mo1 Mo 0.333 0.667 0.500
# Crystal system: hexagonal
# V, Å³/cell: 73
# Formation energy from the elements, eV per atom: 0.88
# Energy, eV/cell: -19.50

---

(13)
# La6Ir3S2I (PBE, relaxed)
data_La6Ir3S2I
_cell_length_a 9.783
_cell_length_b 9.783
_cell_length_c 8.905
_cell_angle_alpha 107.20
_cell_angle_beta 107.20
_cell_angle_gamma 24.68
_symmetry_space_group_name_H-M 'P 1'
_symmetry_Int_Tables_number 1
_symmetry_space_group_name_Hall 'P 1'
loop_
_atom_site_label
_atom_site_type_symbol
_atom_site_fract_x
_atom_site_fract_y
_atom_site_fract_z
La1 La 0.004 0.004 0.214
La2 La 0.317 0.317 0.422
La3 La 0.334 0.334 0.910
La4 La 0.666 0.666 0.090
La5 La 0.683 0.683 0.578
La6 La 0.996 0.996 0.786
Ir1 Ir 0.165 0.165 0.327
Ir2 Ir 0.500 0.500 0.000
Ir3 Ir 0.835 0.835 0.673
S1 S 0.167 0.167 0.830
S2 S 0.833 0.833 0.170
I1 I 0.500 0.500 0.500
# Crystal system: monoclinic
# V, Å³/cell: 339
# E_form (uncorrected), eV/f.u.: -15.0
# Energy, eV/cell: -80.96